Entry 1:
The following is a PBE calculation of a geometry-optimized ScAlSnF2 structure, from the Alexandria database.

Computed properties:
For the energy above the most stable polymorph in this dataset, the calculation gives 0.349 eV/atom. As for the space group: P4/mmm (123). As for the magnetization: 0.0 μB per formula unit. As for the crystal system: tetragonal. As for the density of states at the Fermi level: 3.29 states/eV per cell. The formation energy without anion corrections comes out at -0.965 eV per atom.

a = 4.369 Å, b = 4.369 Å, c = 5.691 Å
α = 90.00°, β = 90.00°, γ = 90.00°
Fractional coordinates of all 5 atoms:
Sc 0.000 0.000 0.000
Al 0.500 0.500 0.000
Sn 0.500 0.500 0.500
F 0.000 0.500 0.500
F 0.500 0.000 0.500

=====

Entry 2:
The following is a PBE calculation of a geometry-optimized ScTa3F structure, from the Alexandria database.

Computed properties:
For the energy above the most stable polymorph in this dataset, the calculation gives 0.000 eV/atom. As for the space group: Pm-3m (221). As for the magnetization: 0.0 μB per formula unit. As for the crystal system: cubic. As for the density of states at the Fermi level: 3.80 states/eV per cell. The formation energy without anion corrections comes out at 0.077 eV per atom.

a = 4.418 Å, b = 4.418 Å, c = 4.418 Å
α = 90.00°, β = 90.00°, γ = 90.00°
Fractional coordinates of all 5 atoms:
Sc 0.000 0.000 0.000
Ta 0.000 0.500 0.500
Ta 0.500 0.000 0.500
Ta 0.500 0.500 0.000
F 0.500 0.500 0.500

=====

Question: Which value of formation energy without anion corrections does entry 1 give?
Answer: -0.965 eV per atom